! PBE Zn2CoCl, optimized geometry; values from VASP
! Space group: P2/m
! Crystal system: monoclinic
! Calculated density, Mg/m³: 5.9
! Uncorrected formation energy, kJ/mol of atoms: -6
&SYSTEM
  ibrav = 0, nat = 4, ntyp = 3
/
ATOMIC_SPECIES
Zn 65.41 Zn.upf
Co 58.93 Co.upf
Cl 35.45 Cl.upf
CELL_PARAMETERS angstrom
2.9972 0.0000 0.0000
0.0000 2.9702 0.0000
-0.0225 0.0000 7.0694
ATOMIC_POSITIONS angstrom
Zn 0.0005 0.0000 1.4327
Zn 2.9742 0.0000 5.6367
Co 1.4986 1.4851 0.0000
Cl -0.0112 1.4851 3.5347



! PBE TlNiRhBr6, optimized geometry; values from VASP
! Space group: P312
! Crystal system: trigonal
! Calculated density, Mg/m³: 5.0
! Uncorrected formation energy, kJ/mol of atoms: -44
&SYSTEM
  ibrav = 0, nat = 9, ntyp = 4
/
ATOMIC_SPECIES
Tl 204.38 Tl.upf
Ni 58.69 Ni.upf
Rh 102.91 Rh.upf
Br 79.90 Br.upf
CELL_PARAMETERS angstrom
6.5867 0.0000 0.0000
-3.2934 5.7043 0.0000
0.0000 0.0000 7.4474
ATOMIC_POSITIONS angstrom
Tl 0.0000 0.0000 0.0000
Ni 0.0000 3.8028 3.7237
Rh 3.2934 1.9014 3.7237
Br 2.4110 0.0218 5.1434
Br 1.2244 2.0771 2.3040
Br 4.1757 0.0218 2.3040
Br 2.1068 3.6054 5.1434
Br 5.3623 2.0771 5.1434
Br 4.4800 3.6054 2.3040



! PBE TbPr2Nd, optimized geometry; values from VASP
! Formation energy from the elements, eV/atom: 0.02
! Space group: R3m
! Crystal system: trigonal
! Calculated density, Mg/m³: 6.9
&SYSTEM
  ibrav = 0, nat = 4, ntyp = 3
/
ATOMIC_SPECIES
Tb 158.93 Tb.upf
Pr 140.91 Pr.upf
Nd 144.24 Nd.upf
CELL_PARAMETERS angstrom
1.8387 1.0615 11.9421
-1.8387 1.0615 11.9421
0.0000 -2.1231 11.9421
ATOMIC_POSITIONS angstrom
Tb 0.0000 0.0000 0.0000
Pr 0.0000 0.0000 14.8935
Pr 0.0000 0.0000 20.9588
Nd 0.0000 0.0000 5.9971



! PBE InHgOs2, optimized geometry; values from VASP
! Formation energy from the elements, eV/atom: 0.34
! Space group: Amm2
! Crystal system: orthorhombic
! Calculated density, Mg/m³: 15.8
&SYSTEM
  ibrav = 0, nat = 4, ntyp = 3
/
ATOMIC_SPECIES
In 114.82 In.upf
Hg 200.59 Hg.upf
Os 190.23 Os.upf
CELL_PARAMETERS angstrom
2.8914 0.0000 0.0000
0.0000 1.4743 8.5894
0.0000 -1.4743 8.5894
ATOMIC_POSITIONS angstrom
In 0.0000 0.0000 0.0000
Hg 1.4457 0.0000 2.7139
Os 0.0000 0.0000 13.4935
Os 1.4457 0.0000 6.4917



! PBE HIrSe3, optimized geometry; values from VASP
! Space group: P-1
! Crystal system: triclinic
! Calculated density, Mg/m³: 7.2
! Calculated total energy, eV/f.u.: -22.97
&SYSTEM
  ibrav = 0, nat = 10, ntyp = 3
/
ATOMIC_SPECIES
H 1.01 H.upf
Ir 192.22 Ir.upf
Se 78.96 Se.upf
CELL_PARAMETERS angstrom
4.9210 0.0000 0.0000
1.9818 5.9337 0.0000
1.2076 2.8035 6.7512
ATOMIC_POSITIONS angstrom
H 0.9888 1.2933 2.5266
H 7.1216 7.4439 4.2247
Ir 1.5894 2.4806 3.7351
Ir 6.5210 6.2566 3.0161
Se 2.4768 5.2828 0.8541
Se 3.0401 4.5371 4.2176
Se 3.1149 1.9707 1.8354
Se 4.9955 6.7665 4.9158
Se 5.0703 4.2001 2.5336
Se 5.6336 3.4544 5.8971



! PBE ZnGaP2Cl, optimized geometry; values from VASP
! Space group: P4/mmm
! Crystal system: tetragonal
! Calculated density, Mg/m³: 3.3
! Uncorrected formation energy, kJ/mol of atoms: 46
&SYSTEM
  ibrav = 0, nat = 5, ntyp = 4
/
ATOMIC_SPECIES
Zn 65.41 Zn.upf
Ga 69.72 Ga.upf
P 30.97 P.upf
Cl 35.45 Cl.upf
CELL_PARAMETERS angstrom
4.6263 0.0000 0.0000
0.0000 4.6263 0.0000
0.0000 0.0000 5.4871
ATOMIC_POSITIONS angstrom
Zn 0.0000 0.0000 0.0000
Ga 2.3132 2.3132 2.7436
P 0.0000 2.3132 0.0000
P 2.3132 0.0000 0.0000
Cl 0.0000 0.0000 2.7436



! PBE YCr2Ag, optimized geometry; values from VASP
! Formation energy from the elements, eV/atom: 0.56
! Space group: C2/m
! Crystal system: monoclinic
! Calculated density, Mg/m³: 6.5
&SYSTEM
  ibrav = 0, nat = 4, ntyp = 3
/
ATOMIC_SPECIES
Y 88.91 Y.upf
Cr 52.00 Cr.upf
Ag 107.87 Ag.upf
CELL_PARAMETERS angstrom
4.9782 -1.5878 0.0000
4.9782 1.5878 0.0000
-1.7943 0.0000 4.8587
ATOMIC_POSITIONS angstrom
Y 0.0000 0.0000 0.0000
Cr 1.2312 0.0000 3.0728
Cr 6.9308 0.0000 1.7858
Ag 4.0810 0.0000 2.4293